A plane-wave DFT calculation with GGA-PBE was carried out for Th3MnAu after structural relaxation.

abc: 3.797 8.500 8.621
angles: 110.93 90.00 90.00
Sites, in units of the cell vectors:
Au: 0.750 0.762 0.650
Au: 0.250 0.238 0.350
Th: 0.750 0.402 0.668
Th: 0.750 0.942 0.319
Th: 0.250 0.788 0.957
Th: 0.250 0.598 0.332
Th: 0.250 0.058 0.681
Th: 0.750 0.212 0.043
Mn: 0.750 0.547 0.066
Mn: 0.250 0.453 0.934

Output
Formation enthalpy at 0 K in eV/atom: -0.229
Total magnetic moment in μB/atom: 0.00
SG: P2_1/m
Calculated density in g cm⁻³: 12.12


A plane-wave DFT calculation with GGA-PBE was carried out for Re4BiSe8 after structural relaxation.

abc: 6.425 6.424 9.383
angles: 90.00 110.03 120.00
Sites, in units of the cell vectors:
Se: 0.471 0.736 0.207
Se: 0.529 0.764 0.796
Se: 0.969 0.236 0.204
Se: 0.471 0.236 0.204
Se: 0.031 0.764 0.796
Se: 0.031 0.267 0.796
Se: 0.969 0.733 0.204
Se: 0.529 0.264 0.793
Re: 0.500 0.500 0.000
Re: 0.500 0.000 0.000
Re: 0.000 0.000 0.000
Re: 0.000 0.500 0.000
Bi: 0.000 0.500 0.500

Output
Total magnetic moment in μB/atom: 0.00
SG: R-3m
Calculated density in g cm⁻³: 8.55
Calculated total energy in eV per atom: -6.1902


A plane-wave DFT calculation with GGA-PBE was carried out for PuZnGa after structural relaxation.

abc: 3.075 3.075 6.609
angles: 103.45 103.45 90.00
Site moments in Bohr magnetons follow the coordinates.
Sites, in units of the cell vectors:
Ga: 0.937 0.937 0.874  -0.03
Pu: 0.617 0.617 0.234  5.46
Zn: 0.296 0.296 0.592  -0.01

Output
Formation enthalpy at 0 K in eV/atom: -0.154
Total magnetic moment in μB/atom: 1.87
SG: I4mm
Calculated density in g cm⁻³: 10.67


A plane-wave DFT calculation with GGA-PBE was carried out for Lu2TeAu after structural relaxation.

abc: 4.062 4.062 7.791
angles: 74.89 74.89 60.00
Sites, in units of the cell vectors:
Te: 0.500 0.500 0.500
Au: 0.000 0.000 0.000
Lu: 0.742 0.742 0.774
Lu: 0.258 0.258 0.226

Output
Total magnetic moment in μB/atom: 0.00
SG: R-3m
Calculated density in g cm⁻³: 10.55
Calculated total energy in eV per atom: -4.8624


A plane-wave DFT calculation with GGA-PBE was carried out for TbY4Pu3S8 after structural relaxation.

abc: 7.847 7.882 7.848
angles: 119.87 120.00 90.00
Site moments in Bohr magnetons follow the coordinates.
Sites, in units of the cell vectors:
Y: 0.000 0.000 0.000  0.01
Y: 0.500 0.000 0.500  0.01
Y: 0.500 0.000 0.000  0.05
Y: 0.000 0.000 0.500  0.01
Pu: 0.500 0.500 0.000  5.36
Pu: 0.500 0.500 0.500  5.36
Pu: 0.000 0.500 0.500  5.36
S: 0.250 0.752 0.501  -0.03
S: 0.248 0.248 0.998  -0.03
S: 0.752 0.752 0.002  -0.03
S: 0.249 0.248 0.499  -0.06
S: 0.751 0.752 0.501  -0.06
S: 0.250 0.752 0.002  -0.03
S: 0.750 0.248 0.998  -0.03
S: 0.750 0.248 0.499  -0.03
Tb: 0.000 0.500 0.000  0.09

Output
Total magnetic moment in μB/atom: 1.08
SG: R-3m
Calculated density in g cm⁻³: 7.26
Calculated total energy in eV per atom: -8.5977


A plane-wave DFT calculation with GGA-PBE was carried out for Pm2Sm3Ho7 after structural relaxation.

abc: 5.623 6.095 12.245
angles: 94.98 90.00 90.00
Sites, in units of the cell vectors:
Ho: 0.500 0.091 0.159
Ho: 0.500 0.775 0.560
Ho: 0.000 0.548 0.827
Ho: 0.000 0.000 0.000
Ho: 0.000 0.452 0.173
Ho: 0.500 0.225 0.440
Ho: 0.500 0.909 0.841
Pm: 0.500 0.365 0.710
Pm: 0.500 0.635 0.290
Sm: 0.000 0.968 0.324
Sm: 0.500 0.500 0.000
Sm: 0.000 0.032 0.676

Output
Formation enthalpy at 0 K in eV/atom: 0.311
Total magnetic moment in μB/atom: 0.00
SG: P2/m
Calculated density in g cm⁻³: 7.53


A plane-wave DFT calculation with GGA-PBE was carried out for OsRu2N after structural relaxation.

abc: 5.046 5.046 6.069
angles: 65.43 65.43 90.00
Sites, in units of the cell vectors:
Os: 0.750 0.250 0.500
Os: 0.000 0.000 0.000
Ru: 0.551 0.125 0.250
Ru: 0.199 0.625 0.250
Ru: 0.375 0.449 0.750
Ru: 0.875 0.801 0.750
N: 0.500 0.500 0.000
N: 0.250 0.750 0.500

Output
Total magnetic moment in μB/atom: 0.00
SG: I-42d
Calculated density in g cm⁻³: 10.80
Calculated total energy in eV per atom: -8.8045


A plane-wave DFT calculation with GGA-PBE was carried out for NdGa5Pd2Au after structural relaxation.

abc: 4.315 4.315 10.442
angles: 90.00 90.00 90.00
Sites, in units of the cell vectors:
Pd: 0.500 0.500 0.725
Pd: 0.500 0.500 0.275
Ga: 0.500 0.500 0.500
Ga: 0.000 0.500 0.155
Ga: 0.000 0.500 0.845
Ga: 0.500 0.000 0.155
Ga: 0.500 0.000 0.845
Nd: 0.000 0.000 0.500
Au: 0.000 0.000 0.000

Output
Formation enthalpy at 0 K in eV/atom: -0.349
Total magnetic moment in μB/atom: 0.00
SG: P4/mmm
Calculated density in g cm⁻³: 7.71


A plane-wave DFT calculation with GGA-PBE was carried out for RbGaGe after structural relaxation.

abc: 5.820 4.314 4.314
angles: 120.00 90.00 90.00
Sites, in units of the cell vectors:
Ga: 0.167 0.667 0.333
Rb: 0.667 0.333 0.667
Ge: 0.166 0.000 0.000

Output
Formation enthalpy at 0 K in eV/atom: -0.187
Total magnetic moment in μB/atom: 0.00
SG: P-6m2
Calculated density in g cm⁻³: 4.03


A plane-wave DFT calculation with GGA-PBE was carried out for SrGa3I12 after structural relaxation.

abc: 12.642 12.642 14.437
angles: 64.03 64.03 60.00
Sites, in units of the cell vectors:
I: 0.259 0.596 0.540
I: 0.895 0.894 0.826
I: 0.487 0.050 0.971
I: 0.105 0.096 0.040
I: 0.759 0.105 0.040
I: 0.394 0.395 0.326
I: 0.596 0.605 0.540
I: 0.885 0.394 0.326
I: 0.096 0.759 0.040
I: 0.492 0.487 0.971
I: 0.249 0.232 0.653
I: 0.395 0.885 0.326
I: 0.050 0.492 0.971
I: 0.232 0.865 0.653
I: 0.550 0.987 0.471
I: 0.385 0.895 0.826
I: 0.992 0.550 0.471
I: 0.732 0.749 0.153
I: 0.365 0.732 0.153
I: 0.894 0.385 0.826
I: 0.605 0.259 0.540
I: 0.865 0.249 0.653
I: 0.749 0.365 0.153
I: 0.987 0.992 0.471
Ga: 0.844 0.212 0.499
Ga: 0.712 0.344 0.999
Ga: 0.344 0.945 0.999
Ga: 0.445 0.844 0.499
Ga: 0.945 0.712 0.999
Ga: 0.212 0.445 0.499
Sr: 0.552 0.552 0.345
Sr: 0.052 0.052 0.845

Output
Total magnetic moment in μB/atom: 0.00
SG: R3c
Calculated density in g cm⁻³: 3.51
Calculated total energy in eV per atom: -2.4710


A plane-wave DFT calculation with GGA-PBE was carried out for Rh3Br after structural relaxation.

abc: 8.731 8.731 8.731
angles: 19.18 19.18 19.18
Sites, in units of the cell vectors:
Rh: 0.751 0.751 0.751
Rh: 0.249 0.249 0.249
Rh: 0.500 0.500 0.500
Br: 0.000 0.000 0.000

Output
Total magnetic moment in μB/atom: 0.00
SG: R-3m
Calculated density in g cm⁻³: 10.28
Calculated total energy in eV per atom: -5.4516


A plane-wave DFT calculation with GGA-PBE was carried out for Nd2ThSc after structural relaxation.

abc: 5.069 4.988 4.988
angles: 90.00 90.00 90.00
Sites, in units of the cell vectors:
Sc: 0.500 0.000 0.000
Nd: 0.000 0.500 0.000
Nd: 0.000 0.000 0.500
Th: 0.500 0.500 0.500

Output
Formation enthalpy at 0 K in eV/atom: 0.068
Total magnetic moment in μB/atom: 0.00
SG: P4/mmm
Calculated density in g cm⁻³: 7.45


- calculated density of number 3 (PuZnGa)?
  10.67 g cm⁻³


Copy entry 3 word for word.
A plane-wave DFT calculation with GGA-PBE was carried out for PuZnGa after structural relaxation.

abc: 3.075 3.075 6.609
angles: 103.45 103.45 90.00
Site moments in Bohr magnetons follow the coordinates.
Sites, in units of the cell vectors:
Ga: 0.937 0.937 0.874  -0.03
Pu: 0.617 0.617 0.234  5.46
Zn: 0.296 0.296 0.592  -0.01

Output
Formation enthalpy at 0 K in eV/atom: -0.154
Total magnetic moment in μB/atom: 1.87
SG: I4mm
Calculated density in g cm⁻³: 10.67


- What is the total magnetic moment in the fourth record?
  0.00 μB/atom


Please write out number 12 again, unchanged.
A plane-wave DFT calculation with GGA-PBE was carried out for Nd2ThSc after structural relaxation.

abc: 5.069 4.988 4.988
angles: 90.00 90.00 90.00
Sites, in units of the cell vectors:
Sc: 0.500 0.000 0.000
Nd: 0.000 0.500 0.000
Nd: 0.000 0.000 0.500
Th: 0.500 0.500 0.500

Output
Formation enthalpy at 0 K in eV/atom: 0.068
Total magnetic moment in μB/atom: 0.00
SG: P4/mmm
Calculated density in g cm⁻³: 7.45